No. 1
LaHg3Pt3 | GGA-PBE | relaxed

abc: 7.408 7.408 7.408
angles: 90.00 90.00 90.00
Sites, in units of the cell vectors:
Hg 0.000 0.250 0.500
Hg 0.000 0.750 0.500
Hg 0.500 0.000 0.750
Hg 0.750 0.500 0.000
Hg 0.500 0.000 0.250
Hg 0.250 0.500 0.000
Pt 0.250 0.000 0.500
Pt 0.000 0.500 0.250
Pt 0.500 0.750 0.000
Pt 0.750 0.000 0.500
Pt 0.000 0.500 0.750
Pt 0.500 0.250 0.000
La 0.500 0.500 0.500
La 0.000 0.000 0.000

Calculated values
uncorrected energy: -3.106 eV/atom
DOS at the Fermi energy: 6.4 states/eV/f.u.
ΔE_f: 0.316 eV/atom



No. 2
Tl4InHg | GGA-PBE | relaxed

abc: 5.656 11.338 6.475
angles: 90.00 90.00 119.92
Sites, in units of the cell vectors:
Tl 0.674 0.424 0.750
Tl 0.326 0.576 0.250
Tl 0.329 0.079 0.750
Tl 0.671 0.921 0.250
Tl 0.006 0.755 0.002
Tl 0.994 0.245 0.502
Tl 0.006 0.755 0.498
Tl 0.994 0.245 0.998
In 0.652 0.901 0.750
In 0.348 0.099 0.250
Hg 0.335 0.585 0.750
Hg 0.665 0.415 0.250

Calculated values
uncorrected energy: -2.076 eV/atom
DOS at the Fermi energy: 4.0 states/eV/f.u.
ΔE_f: 0.009 eV/atom



No. 3
ThAl10Rh2 | GGA-PBE | relaxed

abc: 6.874 6.874 9.250
angles: 90.00 90.00 97.30
Sites, in units of the cell vectors:
Th 0.878 0.122 0.750
Th 0.122 0.878 0.250
Al 0.399 0.138 0.750
Al 0.601 0.862 0.250
Al 0.862 0.601 0.750
Al 0.138 0.399 0.250
Al 0.520 0.772 0.750
Al 0.480 0.228 0.250
Al 0.228 0.480 0.750
Al 0.772 0.520 0.250
Al 0.842 0.158 0.398
Al 0.158 0.842 0.898
Al 0.842 0.158 0.102
Al 0.158 0.842 0.602
Al 0.619 0.381 0.944
Al 0.381 0.619 0.444
Al 0.619 0.381 0.556
Al 0.381 0.619 0.056
Al 0.779 0.779 0.000
Al 0.221 0.221 0.500
Al 0.221 0.221 0.000
Al 0.779 0.779 0.500
Rh 0.500 0.000 0.000
Rh 0.500 0.000 0.500
Rh 0.000 0.500 0.500
Rh 0.000 0.500 0.000

Calculated values
uncorrected energy: -5.123 eV/atom
DOS at the Fermi energy: 5.0 states/eV/f.u.
ΔE_f: -0.542 eV/atom



No. 4
PuC2O6 | GGA-PBE | relaxed

abc: 6.572 6.572 6.544
angles: 105.11 105.11 118.75
Sites, in units of the cell vectors:
Pu 0.523 0.023 0.500
Pu 0.273 0.273 0.000
C 0.708 0.643 0.571
C 0.072 0.137 0.429
C 0.893 0.458 0.071
C 0.387 0.822 0.929
O 0.542 0.638 0.405
O 0.234 0.138 0.595
O 0.888 0.292 0.905
O 0.388 0.984 0.095
O 0.105 0.642 0.257
O 0.385 0.849 0.743
O 0.892 0.855 0.757
O 0.099 0.135 0.243
O 0.683 0.429 0.543
O 0.886 0.139 0.457
O 0.679 0.433 0.043
O 0.389 0.636 0.957

Calculated values
E_form (uncorrected): -1.819 eV/atom
uncorrected energy: -8.767 eV/atom
DOS at the Fermi energy: 12.0 states/eV/f.u.



Among the records above, which one has the highest DOS at the Fermi energy?
PuC2O6



Look up the DOS at the Fermi energy of the second one.
4.0 states/eV/f.u.



Which of these has the highest DOS at the Fermi energy?
PuC2O6